DFT (PBE) results for a relaxed PaInCoAu crystal.

```
PaInCoAu
1.0
-3.986 -2.460 -1.133
-0.862 -4.271 2.058
-3.553 -0.448 3.224
In Pa Co Au
1 1 1 1
Cartesian
-2.100 -1.795 1.037
-6.301 -5.384 3.112
-4.201 -3.589 2.074
0.000 0.000 0.000
```

Values from the calculation:
DOS(E_F): 4.46 states/eV/f.u.
V: 79 Å³ per cell
Formation energy from the elements: -0.1477 eV/atom